1.
Sr4DyTe5 | PBE-GGA | optimized geometry

The structure in POSCAR format:
```
Sr4DyTe5
1.0
-0.223 -3.478 5.580
-4.081 -6.918 -0.597
6.072 -5.221 0.867
Sr Dy Te
4 1 5
direct
0.406 0.396 0.794
0.802 0.794 0.604
0.200 0.206 0.396
0.596 0.604 0.206
0.001 0.000 0.000
0.905 0.383 0.810
0.287 0.810 0.617
0.715 0.190 0.383
0.097 0.617 0.190
0.501 0.000 0.000
```

Calculated values
- Magnetization: 0.00 μB/atom
- Fermi-level density of states: 3.13 states/eV/f.u.
- Symmetry: I4/m (87)
- Calculated density: 5.37 g cm⁻³
- Total energy: -43.23 eV per formula unit

2.
Ba3TiIn | PBE-GGA | optimized geometry

The structure in POSCAR format:
```
Ba3TiIn
1.0
-5.389 0.086 -3.033
1.954 -4.632 -3.602
-2.322 -4.097 4.009
Ti Ba In
1 3 1
direct
0.000 0.000 0.000
0.000 0.500 0.000
0.000 0.000 0.500
0.500 0.000 0.000
0.500 0.500 0.500
```

Calculated values
- Magnetization: 0.37 μB/atom
- Fermi-level density of states: 6.98 states/eV/f.u.
- Symmetry: Pm-3m (221)
- Calculated density: 4.03 g cm⁻³
- Total energy: -13.56 eV per formula unit

3.
Ga3PdS | PBE-GGA | optimized geometry

The structure in POSCAR format:
```
Ga3PdS
1.0
-1.307 1.732 -4.297
2.297 -3.636 -2.164
-4.024 -2.638 0.161
S Ga Pd
1 3 1
direct
0.500 0.500 0.500
0.000 0.500 0.000
0.000 0.000 0.500
0.500 0.000 0.000
0.000 0.000 0.000
```

Calculated values
- Magnetization: 0.00 μB/atom
- Fermi-level density of states: 2.78 states/eV/f.u.
- Symmetry: Pm-3m (221)
- Calculated density: 5.17 g cm⁻³
- Total energy: -18.98 eV per formula unit

4.
Ta2Cd | PBE-GGA | optimized geometry

The structure in POSCAR format:
```
Ta2Cd
1.0
-2.769 7.323 3.462
-5.524 -6.347 -1.575
0.444 -0.998 2.465
Ta Cd
6 3
direct
0.000 0.321 0.000
0.000 0.656 0.500
0.321 0.000 0.000
0.679 0.679 0.000
0.656 0.000 0.500
0.344 0.344 0.500
0.000 0.000 0.500
0.333 0.667 0.000
0.667 0.333 0.000
```

Calculated values
- Magnetization: 0.00 μB/atom
- Fermi-level density of states: 2.17 states/eV/f.u.
- Symmetry: P-62m (189)
- Calculated density: 13.81 g cm⁻³
- Total energy: -23.57 eV per formula unit

5.
CaAlIr2 | PBE-GGA | optimized geometry

The structure in POSCAR format:
```
CaAlIr2
1.0
-4.136 3.376 6.758
-6.506 2.441 5.088
-5.079 0.485 6.938
Ca Ir Al
1 2 1
direct
0.750 0.750 0.750
0.990 0.990 0.990
0.510 0.510 0.510
0.250 0.250 0.250
```

Calculated values
- Magnetization: 0.00 μB/atom
- Fermi-level density of states: 1.32 states/eV/f.u.
- Symmetry: R-3m (166)
- Calculated density: 11.07 g cm⁻³
- Total energy: -24.29 eV per formula unit

6.
Sr4Tl2Ga | PBE-GGA | optimized geometry

The structure in POSCAR format:
```
Sr4Tl2Ga
1.0
-4.328 -2.645 2.586
-2.639 -4.334 -2.583
3.682 -8.319 3.922
Sr Tl Ga
4 2 1
direct
0.877 0.877 0.368
0.123 0.123 0.632
0.627 0.627 0.119
0.373 0.373 0.881
0.750 0.750 0.751
0.250 0.250 0.249
0.000 0.000 0.000
```

Calculated values
- Magnetization: 0.00 μB/atom
- Fermi-level density of states: 8.34 states/eV/f.u.
- Symmetry: R-3m (166)
- Calculated density: 5.25 g cm⁻³
- Total energy: -16.68 eV per formula unit

7.
PdN2Cl6 | PBE-GGA | optimized geometry

The structure in POSCAR format:
```
PdN2Cl6
1.0
1.178 -0.340 6.688
-4.123 -3.640 3.998
2.205 -5.804 2.773
Pd N Cl
1 2 6
direct
0.000 0.000 0.000
0.750 0.750 0.750
0.250 0.250 0.250
0.242 0.758 0.758
0.242 0.242 0.758
0.242 0.758 0.242
0.758 0.242 0.242
0.758 0.758 0.242
0.758 0.242 0.758
```

Calculated values
- Magnetization: 0.44 μB/atom
- Fermi-level density of states: 16.69 states/eV/f.u.
- Symmetry: Fm-3m (225)
- Calculated density: 2.59 g cm⁻³
- Total energy: -22.44 eV per formula unit

8.
TmCuS2 | PBE-GGA | optimized geometry

The structure in POSCAR format:
```
TmCuS2
1.0
3.919 0.000 0.000
0.000 6.226 0.000
0.000 0.000 13.273
S Tm Cu
8 4 4
direct
0.750 0.512 0.706
0.250 0.988 0.294
0.250 0.012 0.794
0.750 0.488 0.206
0.750 0.993 0.540
0.750 0.007 0.040
0.250 0.493 0.960
0.250 0.507 0.460
0.250 0.747 0.634
0.750 0.753 0.366
0.750 0.247 0.866
0.250 0.253 0.134
0.750 0.627 0.045
0.250 0.127 0.455
0.250 0.873 0.955
0.750 0.373 0.545
```

Calculated values
- Magnetization: 0.00 μB/atom
- Fermi-level density of states: 0.00 states/eV/f.u.
- Symmetry: Pnma (62)
- Calculated density: 6.08 g cm⁻³
- Total energy: -22.33 eV per formula unit

9.
Ca2TlAg | PBE-GGA | optimized geometry

The structure in POSCAR format:
```
Ca2TlAg
1.0
-4.094 2.773 3.540
-5.836 1.675 0.345
-2.626 -3.826 2.745
Tl Ca Ag
1 2 1
direct
0.522 0.522 0.522
0.979 0.979 0.056
0.766 0.766 0.701
0.234 0.234 0.221
```

Calculated values
- Magnetization: 0.00 μB/atom
- Fermi-level density of states: 2.34 states/eV/f.u.
- Symmetry: Cm (8)
- Calculated density: 5.80 g cm⁻³
- Total energy: -10.33 eV per formula unit

10.
NaLiSn | PBE-GGA | optimized geometry

The structure in POSCAR format:
```
NaLiSn
1.0
-1.580 -3.482 1.975
1.223 0.563 4.087
-3.570 1.489 1.886
Li Na Sn
1 1 1
direct
0.783 0.783 0.783
0.452 0.452 0.452
0.095 0.095 0.095
```

Calculated values
- Magnetization: 0.00 μB/atom
- Fermi-level density of states: 1.35 states/eV/f.u.
- Symmetry: R3m (160)
- Calculated density: 3.32 g cm⁻³
- Total energy: -7.40 eV per formula unit

11.
Ca4FeW | PBE-GGA | optimized geometry

The structure in POSCAR format:
```
Ca4FeW
1.0
5.873 1.447 1.490
1.210 3.034 5.304
2.838 -2.947 4.697
Ca Fe W
4 1 1
direct
0.375 0.875 0.375
0.875 0.375 0.375
0.375 0.375 0.875
0.375 0.375 0.375
0.750 0.750 0.750
0.000 0.000 0.000
```

Calculated values
- Magnetization: 1.18 μB/atom
- Fermi-level density of states: 13.59 states/eV/f.u.
- Symmetry: F-43m (216)
- Calculated density: 3.89 g cm⁻³
- Total energy: -20.66 eV per formula unit

12.
Nd5Ho3S8 | PBE-GGA | optimized geometry

The structure in POSCAR format:
```
Nd5Ho3S8
1.0
-2.136 4.779 6.003
-4.358 -2.870 6.017
3.363 -0.963 7.247
Nd Ho S
5 3 8
direct
0.500 0.000 0.000
0.500 0.500 0.000
0.000 0.000 0.000
0.000 0.500 0.000
0.500 0.500 0.500
0.500 0.000 0.500
0.000 0.000 0.500
0.000 0.500 0.500
0.250 0.250 0.737
0.250 0.763 0.737
0.763 0.250 0.737
0.756 0.756 0.731
0.750 0.750 0.263
0.750 0.237 0.263
0.237 0.750 0.263
0.244 0.244 0.269
```

Calculated values
- Magnetization: 0.00 μB/atom
- Fermi-level density of states: 7.66 states/eV/f.u.
- Symmetry: R-3m (166)
- Calculated density: 6.74 g cm⁻³
- Total energy: -102.64 eV per formula unit